No. 1
First-principles (PBE) data for a geometry-optimized YTlCu2 structure, as listed in Alexandria via LeMat-Bulk.

Structure (POSCAR):
```
YTlCu2
1.0
-2.1488 -0.3004 3.5651
0.2275 -3.9545 -0.1961
4.3219 -1.8614 2.4481
Cu Tl Y
2 1 1
Cartesian
4.3328 -2.6073 2.3918 Cu
0.0362 -0.8578 2.3923 Cu
1.9230 -2.6699 0.9341 Tl
2.7051 -4.7508 3.6729 Y
```

Magnetization in μB/atom: 0.000
Energy of formation in eV/atom: -0.10
V in Å³ per cell: 81
Space-group type: Amm2 (38)
Electronic total energy in eV/atom: -4.359
ρ in g/cm³: 8.57

No. 2
First-principles (PBE) data for a geometry-optimized ScCrRh2 structure, as listed in Alexandria via LeMat-Bulk.

Structure (POSCAR):
```
ScCrRh2
1.0
2.9204 0.0000 0.0000
0.0000 3.9419 0.0000
0.0000 0.0000 5.4788
Cr Rh Sc
1 2 1
Cartesian
1.4602 1.9709 4.3647 Cr
0.0000 0.0000 5.2624 Rh
1.4602 1.9709 1.4883 Rh
0.0000 0.0000 2.5816 Sc
```

Magnetization in μB/atom: 0.752
Energy of formation in eV/atom: -0.26
V in Å³ per cell: 63
Space-group type: Pmm2 (25)
Electronic total energy in eV/atom: -7.923
ρ in g/cm³: 7.97

No. 3
First-principles (PBE) data for a geometry-optimized Li2Ti3Pd8 structure, as listed in Alexandria via LeMat-Bulk.

Structure (POSCAR):
```
Li2Ti3Pd8
1.0
-0.8634 5.1728 -0.7918
-4.5826 1.6305 -2.1145
-5.2223 2.9044 6.9057
Li Ti Pd
2 3 8
Cartesian
-3.9855 4.6019 -1.1173 Li
-6.6828 5.1059 5.1167 Li
0.0000 0.0000 0.0000 Ti
-7.3867 7.1660 1.5791 Ti
-3.2816 2.5418 2.4203 Ti
-8.3272 7.3418 3.7530 Pd
-2.3411 2.3660 0.2464 Pd
-5.2216 3.2921 0.5514 Pd
-3.3628 5.0624 1.2125 Pd
-5.6531 5.8773 0.1557 Pd
-7.3056 4.6453 2.7869 Pd
-5.4467 6.4157 3.4480 Pd
-5.0152 3.8304 3.8437 Pd
```

Magnetization in μB/atom: 0.079
Energy of formation in eV/atom: -0.28
V in Å³ per cell: 210
Space-group type: R-3m (166)
Electronic total energy in eV/atom: -5.593
ρ in g/cm³: 7.99

No. 4
First-principles (PBE) data for a geometry-optimized BaGa3Pd structure, as listed in Alexandria via LeMat-Bulk.

Structure (POSCAR):
```
BaGa3Pd
1.0
4.9807 0.0000 0.0000
0.0000 4.9807 0.0000
0.0000 0.0000 4.9807
Ga Ba Pd
3 1 1
Cartesian
0.0000 2.4903 0.0000 Ga
0.0000 0.0000 2.4903 Ga
2.4903 0.0000 0.0000 Ga
2.4903 2.4903 2.4903 Ba
0.0000 0.0000 0.0000 Pd
```

Magnetization in μB/atom: 0.000
Energy of formation in eV/atom: -0.36
V in Å³ per cell: 124
Space-group type: Pm-3m (221)
Electronic total energy in eV/atom: -3.600
ρ in g/cm³: 6.09